First-principles (PBE-GGA) data for a relaxed structure of Hf3ReRu2, as listed in Alexandria via LeMat-Bulk.

Summary:
The calculation puts the total DFT energy (no corrections) at -64.90 eV/f.u. As for the magnetic moment: 0.0 μB per formula unit. For the density of states at the Fermi level, the calculation gives 2.41 states/eV/cell. The theoretical density comes out at 14.86 g cm⁻³.

a b c (Å): 3.2490 3.2490 9.7803
angles (deg): 90.00 90.00 90.00
With the nearest neighbours (Å) after each atom.
Positions (direct):
1 Hf 0.0000 0.0000 0.0000  8 Ru 2.80
2 Hf 0.0000 0.0000 0.3337  4 Re 2.82, 4 Ru 2.84
3 Hf 0.0000 0.0000 0.6663  4 Re 2.82, 4 Ru 2.84
4 Re 0.5000 0.5000 0.5000  8 Hf 2.82
5 Ru 0.5000 0.5000 0.1629  8 Hf 2.80-2.84
6 Ru 0.5000 0.5000 0.8371  8 Hf 2.80-2.84



First-principles (PBE-GGA) data for a relaxed structure of HfRe3Ru, as listed in Alexandria via LeMat-Bulk.

Summary:
As for the energy above the most stable polymorph in this dataset: 1110 meV per atom. As for the magnetic moment: 1.4 μB per formula unit. For the density of states at the Fermi level, the calculation gives 7.12 states/eV/cell. The theoretical density comes out at 13.61 g cm⁻³.

a b c (Å): 4.6758 4.6758 4.6758
angles (deg): 90.00 90.00 90.00
With the nearest neighbours (Å) after each atom.
Positions (direct):
1 Hf 0.0000 0.0000 0.0000  6 Re 2.34
2 Re 0.0000 0.0000 0.5000  2 Hf 2.34
3 Re 0.0000 0.5000 0.0000  2 Hf 2.34
4 Re 0.5000 0.0000 0.0000  2 Hf 2.34
5 Ru 0.5000 0.5000 0.5000  12 Re 3.31



First-principles (PBE-GGA) data for a relaxed structure of HfReRu3, as listed in Alexandria via LeMat-Bulk.

Summary:
As for the energy above the most stable polymorph in this dataset: 972 meV per atom. As for the magnetic moment: 0.0 μB per formula unit. For the density of states at the Fermi level, the calculation gives 13.26 states/eV/cell. The theoretical density comes out at 11.33 g cm⁻³.

a b c (Å): 4.6088 4.6088 4.6088
angles (deg): 90.00 90.00 90.00
With the nearest neighbours (Å) after each atom.
Positions (direct):
1 Hf 0.0000 0.0000 0.0000  6 Ru 2.30
2 Re 0.5000 0.5000 0.5000  12 Ru 3.26
3 Ru 0.0000 0.0000 0.5000  2 Hf 2.30
4 Ru 0.0000 0.5000 0.0000  2 Hf 2.30
5 Ru 0.5000 0.0000 0.0000  2 Hf 2.30



First-principles (PBE-GGA) data for a relaxed structure of Hf2ReRu, as listed in Alexandria via LeMat-Bulk.

Summary:
The calculation puts the total DFT energy (no corrections) at -43.91 eV/f.u. As for the magnetic moment: 0.0 μB per formula unit. For the density of states at the Fermi level, the calculation gives 3.26 states/eV/cell. The theoretical density comes out at 15.50 g cm⁻³.

a b c (Å): 4.6041 4.6041 4.6041
angles (deg): 60.00 60.00 60.00
With the nearest neighbours (Å) after each atom.
Positions (direct):
1 Hf 0.2500 0.2500 0.2500  4 Re 2.82, 4 Ru 2.82
2 Hf 0.7500 0.7500 0.7500  4 Re 2.82, 4 Ru 2.82
3 Re 0.0000 0.0000 0.0000  8 Hf 2.82
4 Ru 0.5000 0.5000 0.5000  8 Hf 2.82



First-principles (PBE-GGA) data for a relaxed structure of Hf2ReRu, as listed in Alexandria via LeMat-Bulk.

Summary:
The calculation puts the total DFT energy (no corrections) at -39.19 eV/f.u. As for the magnetic moment: 0.0 μB per formula unit. For the density of states at the Fermi level, the calculation gives 3.85 states/eV/cell. The theoretical density comes out at 14.45 g cm⁻³.

a b c (Å): 5.9397 5.9397 5.9397
angles (deg): 151.99 130.79 57.58
With the nearest neighbours (Å) after each atom.
Positions (direct):
1 Hf 0.2410 0.2410 0.0000  1 Ru 2.51, 1 Re 2.70
2 Hf 0.7590 0.7590 0.0000  1 Ru 2.51, 1 Re 2.70
3 Re 0.5000 0.5000 0.0000  2 Hf 2.70, 4 Ru 2.86, 2 Re 2.88
4 Ru 0.0000 0.0000 0.0000  2 Hf 2.51



First-principles (PBE-GGA) data for a relaxed structure of HfReRu3, as listed in Alexandria via LeMat-Bulk.

Summary:
As for the energy above the most stable polymorph in this dataset: 0 meV per atom. As for the magnetic moment: 0.0 μB per formula unit. For the density of states at the Fermi level, the calculation gives 4.51 states/eV/cell. The theoretical density comes out at 11.14 g cm⁻³.

a b c (Å): 4.6346 4.6346 4.6346
angles (deg): 90.00 90.00 90.00
With the nearest neighbours (Å) after each atom.
Positions (direct):
1 Hf 0.0000 0.0000 0.0000  12 Ru 3.28
2 Re 0.5000 0.5000 0.5000  6 Ru 2.32
3 Ru 0.0000 0.5000 0.5000  2 Re 2.32
4 Ru 0.5000 0.0000 0.5000  2 Re 2.32
5 Ru 0.5000 0.5000 0.0000  2 Re 2.32



First-principles (PBE-GGA) data for a relaxed structure of HfRe3Ru, as listed in Alexandria via LeMat-Bulk.

Summary:
As for the energy above the most stable polymorph in this dataset: 0 meV per atom. As for the magnetic moment: 0.0 μB per formula unit. For the density of states at the Fermi level, the calculation gives 5.05 states/eV/cell. The theoretical density comes out at 13.94 g cm⁻³.

a b c (Å): 4.6389 4.6389 4.6389
angles (deg): 90.00 90.00 90.00
With the nearest neighbours (Å) after each atom.
Positions (direct):
1 Hf 0.0000 0.0000 0.0000  12 Re 3.28
2 Re 0.0000 0.5000 0.5000  2 Ru 2.32
3 Re 0.5000 0.0000 0.5000  2 Ru 2.32
4 Re 0.5000 0.5000 0.0000  2 Ru 2.32
5 Ru 0.5000 0.5000 0.5000  6 Re 2.32



First-principles (PBE-GGA) data for a relaxed structure of HfReSbRu, as listed in Alexandria via LeMat-Bulk.

Summary:
The calculation puts the total DFT energy (no corrections) at -36.79 eV/f.u. As for the magnetic moment: 0.0 μB per formula unit. For the density of states at the Fermi level, the calculation gives 0.30 states/eV/cell. The theoretical density comes out at 14.36 g cm⁻³.

a b c (Å): 4.5802 4.5802 4.5802
angles (deg): 60.00 60.00 60.00
With the nearest neighbours (Å) after each atom.
Positions (direct):
1 Hf 0.0000 0.0000 0.0000  4 Re 2.80, 4 Ru 2.80
2 Re 0.2500 0.2500 0.2500  4 Hf 2.80, 4 Sb 2.80
3 Sb 0.5000 0.5000 0.5000  4 Re 2.80, 4 Ru 2.80
4 Ru 0.7500 0.7500 0.7500  4 Sb 2.80, 4 Hf 2.80



First-principles (PBE-GGA) data for a relaxed structure of HfScReRu, as listed in Alexandria via LeMat-Bulk.

Summary:
The calculation puts the total DFT energy (no corrections) at -39.42 eV/f.u. As for the magnetic moment: 0.0 μB per formula unit. For the density of states at the Fermi level, the calculation gives 5.70 states/eV/cell. The theoretical density comes out at 12.40 g cm⁻³.

a b c (Å): 4.5898 4.5898 4.5898
angles (deg): 60.00 60.00 60.00
With the nearest neighbours (Å) after each atom.
Positions (direct):
1 Hf 0.0000 0.0000 0.0000  4 Re 2.81, 4 Ru 2.81
2 Sc 0.5000 0.5000 0.5000  4 Re 2.81, 4 Ru 2.81
3 Re 0.7500 0.7500 0.7500  4 Hf 2.81, 4 Sc 2.81
4 Ru 0.2500 0.2500 0.2500  4 Hf 2.81, 4 Sc 2.81



First-principles (PBE-GGA) data for a relaxed structure of Hf2ReTcRu, as listed in Alexandria via LeMat-Bulk.

Summary:
The calculation puts the total DFT energy (no corrections) at -46.00 eV/f.u. As for the magnetic moment: 0.0 μB per formula unit. For the density of states at the Fermi level, the calculation gives 5.82 states/eV/cell. The theoretical density comes out at 10.99 g cm⁻³.

a b c (Å): 4.9634 4.9634 4.5521
angles (deg): 90.00 90.00 90.00
With the nearest neighbours (Å) after each atom.
Positions (direct):
1 Hf 0.0000 0.5000 0.0000  2 Re 2.48
2 Hf 0.5000 0.0000 0.0000  2 Re 2.48
3 Re 0.0000 0.0000 0.0000  2 Tc 2.28, 4 Hf 2.48
4 Tc 0.0000 0.0000 0.5000  2 Re 2.28
5 Ru 0.5000 0.5000 0.5000  8 Hf 3.37, 4 Tc 3.51



First-principles (PBE-GGA) data for a relaxed structure of HfTiReRu, as listed in Alexandria via LeMat-Bulk.

Summary:
As for the energy above the most stable polymorph in this dataset: 0 meV per atom. As for the magnetic moment: 0.0 μB per formula unit. For the density of states at the Fermi level, the calculation gives 3.62 states/eV/cell. The theoretical density comes out at 13.22 g cm⁻³.

a b c (Å): 3.1770 3.1770 6.3939
angles (deg): 90.00 90.00 90.00
With the nearest neighbours (Å) after each atom.
Positions (direct):
1 Hf 0.0000 0.0000 0.0000  4 Ru 2.79, 4 Re 2.81
2 Ti 0.0000 0.0000 0.5013  4 Re 2.71, 4 Ru 2.72
3 Re 0.5000 0.5000 0.2648  4 Ti 2.71, 4 Hf 2.81
4 Ru 0.5000 0.5000 0.7423  4 Ti 2.72, 4 Hf 2.79



First-principles (PBE-GGA) data for a relaxed structure of HfTiReRu, as listed in Alexandria via LeMat-Bulk.

Summary:
As for the energy above the most stable polymorph in this dataset: 24 meV per atom. As for the magnetic moment: 0.0 μB per formula unit. For the density of states at the Fermi level, the calculation gives 2.02 states/eV/cell. The theoretical density comes out at 13.25 g cm⁻³.

a b c (Å): 4.4981 4.4981 4.4981
angles (deg): 60.00 60.00 60.00
With the nearest neighbours (Å) after each atom.
Positions (direct):
1 Hf 0.0000 0.0000 0.0000  4 Re 2.75, 4 Ru 2.75
2 Ti 0.5000 0.5000 0.5000  4 Re 2.75, 4 Ru 2.75
3 Re 0.7500 0.7500 0.7500  4 Hf 2.75, 4 Ti 2.75
4 Ru 0.2500 0.2500 0.2500  4 Hf 2.75, 4 Ti 2.75